Record 1
## SnBi5 (PBE)

Data for an optimized crystal structure of SnBi5.

Unit cell a=4.7566 b=17.7972 c=4.5721 alpha=90.00 beta=90.00 gamma=90.00
With the nearest neighbours (Å) after each atom.
Space group Cmmm (No. 65)
One atom of each set of equivalent atoms:
Sn: 0.0000 0.0000 0.0000 [2 per cell]  8 Bi 3.30-3.49
Bi: 0.0000 0.1850 0.5000 [4 per cell]  6 Bi 3.32-3.38
Bi: 0.0000 0.3567 0.0000 [4 per cell]  6 Bi 3.38-3.43, 2 Sn 3.49
Bi: 0.0000 0.5000 0.5000 [2 per cell]  4 Sn 3.30, 4 Bi 3.43

## Properties
Total DFT energy (no corrections)   -3.771 eV/atom
ΔE_f   131 meV per atom

Record 2
## FeSi2MoP (PBE)

Data for an optimized crystal structure of FeSi2MoP.

Unit cell a=4.2014 b=4.2014 c=4.6489 alpha=90.00 beta=90.00 gamma=90.00
With the nearest neighbours (Å) after each atom.
Space group P4/mmm (No. 123)
One atom of each set of equivalent atoms:
Fe: 0.0000 0.0000 0.0000 [1 per cell]  4 Si 2.10, 2 Mo 2.32
Si: 0.0000 0.5000 0.0000 [2 per cell]  2 Fe 2.10
Mo: 0.0000 0.0000 0.5000 [1 per cell]  2 Fe 2.32
P: 0.5000 0.5000 0.5000 [1 per cell]  4 Mo 2.97, 8 Si 3.13

## Properties
Total DFT energy (no corrections)   -6.482 eV/atom

Record 3
## PbCN2 (PBE)

Data for an optimized crystal structure of PbCN2.

Unit cell a=5.0830 b=5.0830 c=6.5857 alpha=90.00 beta=90.00 gamma=90.00
With the nearest neighbours (Å) after each atom.
Space group I-42d (No. 122)
One atom of each set of equivalent atoms:
Pb: 0.0000 0.0000 0.0000 [4 per cell]  8 N 2.58-2.81
C: 0.0000 0.0000 0.5000 [4 per cell]  4 N 1.58
N: 0.0901 0.7500 0.6250 [8 per cell]  2 C 1.58

## Properties
Total DFT energy (no corrections)   -6.280 eV/atom
Offset from the most stable computed form   1007.0 meV/atom

Record 4
## CrTcSb2 (PBE)

Data for an optimized crystal structure of CrTcSb2.

Unit cell a=3.3415 b=3.9197 c=11.6509 alpha=90.00 beta=90.00 gamma=90.00
With the nearest neighbours (Å) after each atom.
Space group Imm2 (No. 44)
One atom of each set of equivalent atoms:
Cr: 0.0000 0.0000 0.0000 [2 per cell]  6 Sb 2.68-2.74
Tc: 0.0000 0.5000 0.2784 [2 per cell]  6 Sb 2.69-2.79
Sb: 0.0000 0.0000 0.4369 [2 per cell]  4 Cr 2.68, 2 Tc 2.69
Sb: 0.0000 0.5000 0.6865 [2 per cell]  2 Cr 2.74, 4 Tc 2.79

## Properties
Total DFT energy (no corrections)   -6.817 eV/atom
Offset from the most stable computed form   114.2 meV/atom

Record 5
## Tb5Y3Hg2 (PBE)

Data for an optimized crystal structure of Tb5Y3Hg2.

Unit cell a=13.2564 b=14.1837 c=6.8199 alpha=90.00 beta=90.00 gamma=90.00
With the nearest neighbours (Å) after each atom.
Space group Ibam (No. 72)
One atom of each set of equivalent atoms:
Tb: 0.0000 0.0000 0.2500 [4 per cell]  8 Tb 3.13-3.41
Tb: 0.0000 0.2209 0.2500 [8 per cell]  2 Hg 2.95, 1 Tb 3.13
Tb: 0.1914 0.0741 0.0000 [8 per cell]  1 Hg 2.82
Y: 0.0000 0.5000 0.2500 [4 per cell]  4 Hg 3.02
Y: 0.2248 0.3332 0.0000 [8 per cell]  3 Hg 3.48-3.75, 6 Tb 3.59-3.82
Hg: 0.1092 0.3569 0.5000 [8 per cell]  3 Tb 2.82-2.95, 2 Y 3.02

## Properties
Total DFT energy (no corrections)   -4.273 eV/atom
ΔE_f   42 meV per atom

Record 6
## CeNdNiS4 (PBE)

Data for an optimized crystal structure of CeNdNiS4.

Unit cell a=6.5933 b=5.6702 c=7.9401 alpha=90.00 beta=106.76 gamma=90.00
With the nearest neighbours (Å) after each atom.
Space group P2_1/m (No. 11)
One atom of each set of equivalent atoms:
Ce: 0.2440 0.2500 0.4383 [2 per cell]  8 S 2.76-3.02
Nd: 0.2308 0.2500 0.9311 [2 per cell]  8 S 2.83-3.01
Ni: 0.2602 0.7500 0.6809 [2 per cell]  4 S 2.18-2.26
S: 0.0717 0.7500 0.8784 [2 per cell]  1 Ni 2.26
S: 0.0798 0.7500 0.4010 [2 per cell]  1 Ni 2.20
S: 0.4862 0.5096 0.2461 [4 per cell]  1 Ni 2.18

## Properties
Total DFT energy (no corrections)   -6.262 eV/atom